## HoAs2Rh5 (PBE-GGA)

Data for a geometry-optimized HoAs2Rh5 structure.

a = 3.883 Å, b = 6.295 Å, c = 6.295 Å
α = 67.68°, β = 72.04°, γ = 72.04°
Positions (direct):
Ho (0.000, 0.000, 0.000)
As (0.752, 0.748, 0.748)
As (0.248, 0.252, 0.252)
Rh (0.000, 0.500, 0.500)
Rh (0.643, 0.556, 0.157)
Rh (0.357, 0.444, 0.843)
Rh (0.357, 0.843, 0.444)
Rh (0.643, 0.157, 0.556)

space-group type: Immm, No. 71
crystal system: orthorhombic
spin magnetization: 0.000 μB/atom
ΔE_f: -0.62 eV/atom
N(E_F): 5.30 states/eV/f.u.